# PuZrSbAu

A relaxed structure of PuZrSbAu (PBE, the Alexandria database).

Results
Final energy, eV per atom: -8.00
Uncorrected formation energy, eV/atom: -0.425
Size of the total moment, μB per cell: 29.94

Structure (CIF):
```
data_PuZrSbAu
_chemical_formula_sum 'Pu4 Zr4 Sb4 Au4'
_symmetry_space_group_name_H-M 'F -4 3 m'
_symmetry_Int_Tables_number 216
_symmetry_space_group_name_Hall 'F -4 2 3'
_cell_length_a 7.227
_cell_length_b 7.227
_cell_length_c 7.227
_cell_angle_alpha 90.00
_cell_angle_beta 90.00
_cell_angle_gamma 90.00
loop_
_atom_site_label
_atom_site_type_symbol
_atom_site_fract_x
_atom_site_fract_y
_atom_site_fract_z
_atom_site_occupancy
Pu1 Pu 0.000 0.000 0.000 1
Zr1 Zr 0.000 0.000 0.500 1
Sb1 Sb 0.250 0.250 0.750 1
Au1 Au 0.250 0.250 0.250 1
```

# Pu2ScAu4

A relaxed structure of Pu2ScAu4 (PBE, the Alexandria database).

Results
Final energy, eV per atom: -7.28
Formation energy, kJ/mol of formula units: -276
Size of the total moment, μB per cell: 23.92

Structure (CIF):
```
data_Pu2ScAu4
_chemical_formula_sum 'Pu4 Sc2 Au8'
_symmetry_space_group_name_H-M 'I 4/m m m'
_symmetry_Int_Tables_number 139
_symmetry_space_group_name_Hall '-I 4 2'
_cell_length_a 4.856
_cell_length_b 4.856
_cell_length_c 13.915
_cell_angle_alpha 90.00
_cell_angle_beta 90.00
_cell_angle_gamma 90.00
loop_
_atom_site_label
_atom_site_type_symbol
_atom_site_fract_x
_atom_site_fract_y
_atom_site_fract_z
_atom_site_occupancy
Pu1 Pu 0.000 0.000 0.239 1
Sc1 Sc 0.000 0.000 0.500 1
Au1 Au 0.000 0.500 0.106 1
```

# PuSc3Au4

A relaxed structure of PuSc3Au4 (PBE, the Alexandria database).

Results
Final energy, eV per atom: -6.47
Formation energy, kJ/mol of formula units: -516
Size of the total moment, μB per cell: 17.66

Structure (CIF):
```
data_PuSc3Au4
_chemical_formula_sum 'Pu3 Sc9 Au12'
_symmetry_space_group_name_H-M 'R -3 m'
_symmetry_Int_Tables_number 166
_symmetry_space_group_name_Hall '-R 3 2"'
_cell_length_a 4.8538
_cell_length_b 4.8538
_cell_length_c 24.6060
_cell_angle_alpha 90.00
_cell_angle_beta 90.00
_cell_angle_gamma 120.00
loop_
_atom_site_label
_atom_site_type_symbol
_atom_site_fract_x
_atom_site_fract_y
_atom_site_fract_z
_atom_site_occupancy
Pu1 Pu 0.0000 0.0000 0.0000 1
Sc1 Sc 0.0000 0.0000 0.2496 1
Sc2 Sc 0.0000 0.0000 0.5000 1
Au1 Au 0.0000 0.0000 0.1308 1
Au2 Au 0.0000 0.0000 0.3858 1
```

# PuScAu

A relaxed structure of PuScAu (PBE, the Alexandria database).

Results
Final energy, eV per atom: -8.32
Offset from the most stable computed form, meV/atom: 0
Formation energy, kJ/mol of formula units: -97
Size of the total moment, μB per cell: 12.83

Structure (CIF):
```
data_PuScAu
_chemical_formula_sum 'Pu2 Sc2 Au2'
_symmetry_space_group_name_H-M 'I 4 m m'
_symmetry_Int_Tables_number 107
_symmetry_space_group_name_Hall 'I 4 -2'
_cell_length_a 3.430
_cell_length_b 3.430
_cell_length_c 11.979
_cell_angle_alpha 90.00
_cell_angle_beta 90.00
_cell_angle_gamma 90.00
loop_
_atom_site_label
_atom_site_type_symbol
_atom_site_fract_x
_atom_site_fract_y
_atom_site_fract_z
_atom_site_occupancy
Pu1 Pu 0.000 0.000 0.000 1
Sc1 Sc 0.000 0.000 0.299 1
Au1 Au 0.000 0.000 0.677 1
```

# PuScAu2

A relaxed structure of PuScAu2 (PBE, the Alexandria database).

Results
Final energy, eV per atom: -7.32
Offset from the most stable computed form, meV/atom: 95
Formation energy, kJ/mol of formula units: -199
Size of the total moment, μB per cell: 22.86

Structure (CIF):
```
data_PuScAu2
_chemical_formula_sum 'Pu4 Sc4 Au8'
_symmetry_space_group_name_H-M 'F m -3 m'
_symmetry_Int_Tables_number 225
_symmetry_space_group_name_Hall '-F 4 2 3'
_cell_length_a 7.081
_cell_length_b 7.081
_cell_length_c 7.081
_cell_angle_alpha 90.00
_cell_angle_beta 90.00
_cell_angle_gamma 90.00
loop_
_atom_site_label
_atom_site_type_symbol
_atom_site_fract_x
_atom_site_fract_y
_atom_site_fract_z
_atom_site_occupancy
Pu1 Pu 0.000 0.000 0.000 1
Sc1 Sc 0.000 0.000 0.500 1
Au1 Au 0.250 0.250 0.250 1
```

# PuSc4Au5

A relaxed structure of PuSc4Au5 (PBE, the Alexandria database).

Results
Final energy, eV per atom: -6.34
Formation energy, kJ/mol of formula units: -706
Size of the total moment, μB per cell: 5.81

Structure (CIF):
```
data_PuSc4Au5
_chemical_formula_sum 'Pu1 Sc4 Au5'
_symmetry_space_group_name_H-M 'P 4/m m m'
_symmetry_Int_Tables_number 123
_symmetry_space_group_name_Hall '-P 4 2'
_cell_length_a 3.407
_cell_length_b 3.407
_cell_length_c 17.631
_cell_angle_alpha 90.00
_cell_angle_beta 90.00
_cell_angle_gamma 90.00
loop_
_atom_site_label
_atom_site_type_symbol
_atom_site_fract_x
_atom_site_fract_y
_atom_site_fract_z
_atom_site_occupancy
Pu1 Pu 0.000 0.000 0.000 1
Sc1 Sc 0.000 0.000 0.210 1
Sc2 Sc 0.000 0.000 0.403 1
Au1 Au 0.500 0.500 0.121 1
Au2 Au 0.500 0.500 0.308 1
Au3 Au 0.500 0.500 0.500 1
```